1.
The following is a DFT calculation (PBE-GGA) of an optimized crystal structure of Na2Pd2S.

a = 6.386 Å, b = 6.386 Å, c = 4.697 Å
α = 90.00°, β = 90.00°, γ = 90.00°
Positions (direct):
Na: 0.164 0.336 0.000
Na: 0.336 0.836 0.000
Na: 0.664 0.164 0.000
Na: 0.836 0.664 0.000
Pd: 0.163 0.663 0.500
Pd: 0.337 0.163 0.500
Pd: 0.663 0.837 0.500
Pd: 0.837 0.337 0.500
S: 0.000 0.000 0.500
S: 0.500 0.500 0.500

Output
Formation energy from raw total energies in meV per atom: -357
Crystal system: tetragonal

2.
The following is a DFT calculation (PBE-GGA) of an optimized crystal structure of NaPd2S2.

a = 7.327 Å, b = 7.327 Å, c = 3.172 Å
α = 90.00°, β = 90.00°, γ = 90.00°
Positions (direct):
Na: 0.000 0.000 0.000
Na: 0.500 0.500 0.000
Pd: 0.167 0.333 0.500
Pd: 0.333 0.833 0.500
Pd: 0.667 0.167 0.500
Pd: 0.833 0.667 0.500
S: 0.159 0.659 0.000
S: 0.341 0.159 0.000
S: 0.659 0.841 0.000
S: 0.841 0.341 0.000

Output
Formation energy from raw total energies in meV per atom: -247
Crystal system: tetragonal